This record from Alexandria via LeMat-Bulk describes In3TeS at its PBEsol-relaxed geometry. The functional is SCAN.

Computed properties:
E_tot	-29.3126	eV per atom
formation energy from raw total energies	0.0951	eV per atom
symmetry	No. 221

Cell: 5.294 5.294 5.294 Å, 90.00 90.00 90.00°
Fractional positions:
In (0.000, 0.000, 0.500)
In (0.000, 0.500, 0.000)
In (0.500, 0.000, 0.000)
Te (0.500, 0.500, 0.500)
S (0.000, 0.000, 0.000)

***

This record from Alexandria via LeMat-Bulk describes YIn2TeS at its PBEsol-relaxed geometry. The functional is SCAN.

Computed properties:
E_tot	-27.8895	eV per atom
formation energy from raw total energies	0.4094	eV per atom
symmetry	No. 123

Cell: 5.969 5.969 5.460 Å, 90.00 90.00 90.00°
Fractional positions:
Y (0.000, 0.000, 0.000)
In (0.000, 0.500, 0.000)
In (0.500, 0.000, 0.000)
Te (0.000, 0.000, 0.500)
S (0.500, 0.500, 0.500)

***

This record from Alexandria via LeMat-Bulk describes TiInS2 at its PBEsol-relaxed geometry. The functional is SCAN.

Computed properties:
E_tot	-18.3153	eV per atom
formation energy from raw total energies	-1.1472	eV per atom
symmetry	No. 166

Cell: 8.696 8.696 8.696 Å, 21.98 21.98 21.98°
Fractional positions:
Ti (0.000, 0.000, 0.000)
In (0.500, 0.500, 0.500)
S (0.390, 0.390, 0.390)
S (0.610, 0.610, 0.610)